A plane-wave DFT calculation with PBEsol was carried out for a geometry-optimized MnSiTc structure.

Summary:
**Mass density**: 6.89 g cm⁻³
**Relative energy among the computed polymorphs**: 0.450 eV/atom

The structure in CIF format:
```
data_MnSiTc
_cell_length_a 5.589
_cell_length_b 5.589
_cell_length_c 5.589
_cell_angle_alpha 90.00
_cell_angle_beta 90.00
_cell_angle_gamma 90.00
_symmetry_space_group_name_H-M 'F -4 3 m'
_symmetry_Int_Tables_number 216
_symmetry_space_group_name_Hall 'F -4 2 3'
loop_
_atom_site_label
_atom_site_fract_x
_atom_site_fract_y
_atom_site_fract_z
_atom_site_occupancy
Mn1 0.000 0.000 0.000 1
Si1 0.250 0.250 0.250 1
Tc1 0.000 0.000 0.500 1
```

---

A plane-wave DFT calculation with PBEsol was carried out for a geometry-optimized Mg2AlV3S8 structure.

Summary:
**Mass density**: 3.10 g cm⁻³
**DFT total energy**: -6.150 eV/atom

The structure in CIF format:
```
data_Mg2AlV3S8
_cell_length_a 7.1105
_cell_length_b 7.1105
_cell_length_c 17.8078
_cell_angle_alpha 90.00
_cell_angle_beta 90.00
_cell_angle_gamma 120.00
_symmetry_space_group_name_H-M 'R -3 m'
_symmetry_Int_Tables_number 166
_symmetry_space_group_name_Hall '-R 3 2"'
loop_
_atom_site_label
_atom_site_fract_x
_atom_site_fract_y
_atom_site_fract_z
_atom_site_occupancy
Mg1 0.0000 0.0000 0.1254 1
Al1 0.0000 0.0000 0.5000 1
V1 0.0000 0.5000 0.0000 1
S1 0.0000 0.0000 0.2619 1
S2 0.0327 0.5163 0.2531 1
```

---

A plane-wave DFT calculation with PBEsol was carried out for a geometry-optimized YTa2Ga2 structure.

Summary:
**Energy relative to the elements**: -8.13 kcal/mol of atoms
**Mass density**: 10.27 g cm⁻³

The structure in CIF format:
```
data_YTa2Ga2
_cell_length_a 3.951
_cell_length_b 3.951
_cell_length_c 12.223
_cell_angle_alpha 90.00
_cell_angle_beta 90.00
_cell_angle_gamma 90.00
_symmetry_space_group_name_H-M 'I 4/m m m'
_symmetry_Int_Tables_number 139
_symmetry_space_group_name_Hall '-I 4 2'
loop_
_atom_site_label
_atom_site_fract_x
_atom_site_fract_y
_atom_site_fract_z
_atom_site_occupancy
Y1 0.000 0.000 0.000 1
Ta1 0.000 0.500 0.250 1
Ga1 0.000 0.000 0.401 1
```